(1)
# meta-GGA SCAN BaAs2WSe, single point on PBEsol structure
data_BaAs2WSe
_chemical_formula_sum 'Ba1 As2 W1 Se1'
_space_group_name_H-M_alt 'P 4/m m m'
_space_group_IT_number 123
_space_group_name_Hall '-P 4 2'
_cell_length_a 4.852
_cell_length_b 4.852
_cell_length_c 5.258
_cell_angle_alpha 90.00
_cell_angle_beta 90.00
_cell_angle_gamma 90.00
loop_
_atom_site_label
_atom_site_type_symbol
_atom_site_fract_x
_atom_site_fract_y
_atom_site_fract_z
_atom_site_occupancy
Ba1 Ba 0.000 0.000 0.000 1
As1 As 0.000 0.500 0.500 1
W1 W 0.500 0.500 0.500 1
Se1 Se 0.500 0.500 0.000 1
# energy relative to the elements, uncorrected	-443.3	meV per atom
# N(E_F)	0.495	states/eV per atom
# raw total energy	-1.2635	hartree per atom
# crystal system	tetragonal



(2)
# meta-GGA SCAN Ta2InNi, single point on PBEsol structure
data_Ta2InNi
_chemical_formula_sum 'Ta2 In1 Ni1'
_space_group_name_H-M_alt 'P 4 m m'
_space_group_IT_number 99
_space_group_name_Hall 'P 4 -2'
_cell_length_a 2.867
_cell_length_b 2.867
_cell_length_c 7.977
_cell_angle_alpha 90.00
_cell_angle_beta 90.00
_cell_angle_gamma 90.00
loop_
_atom_site_label
_atom_site_type_symbol
_atom_site_fract_x
_atom_site_fract_y
_atom_site_fract_z
_atom_site_occupancy
Ta1 Ta 0.000 0.000 0.000 1
Ta2 Ta 0.500 0.500 0.282 1
In1 In 0.000 0.000 0.566 1
Ni1 Ni 0.500 0.500 0.789 1
# N(E_F)	0.942	states/eV per atom
# raw total energy	-1.6790	hartree per atom
# formation energy	-6	meV/atom
# crystal system	tetragonal



(3)
# meta-GGA SCAN LaNb2Ru2, single point on PBEsol structure
data_LaNb2Ru2
_chemical_formula_sum 'La2 Nb4 Ru4'
_space_group_name_H-M_alt 'I 4/m m m'
_space_group_IT_number 139
_space_group_name_Hall '-I 4 2'
_cell_length_a 4.399
_cell_length_b 4.399
_cell_length_c 10.517
_cell_angle_alpha 90.00
_cell_angle_beta 90.00
_cell_angle_gamma 90.00
loop_
_atom_site_label
_atom_site_type_symbol
_atom_site_fract_x
_atom_site_fract_y
_atom_site_fract_z
_atom_site_occupancy
La1 La 0.000 0.000 0.000 1
Nb1 Nb 0.000 0.500 0.250 1
Ru1 Ru 0.000 0.000 0.376 1
# N(E_F)	0.796	states/eV per atom
# raw total energy	-1.3268	hartree per atom
# formation energy	-300	meV/atom
# crystal system	tetragonal